[1]
! Ta4Ru | Alexandria via LeMat-Bulk | PBE | relaxed; values from VASP
&SYSTEM
  ibrav = 0, nat = 10, ntyp = 2
/
ATOMIC_SPECIES
Ta 180.95 Ta.upf
Ru 101.07 Ru.upf
ATOMIC_POSITIONS crystal
Ta 0.147 0.751 0.148
Ta 0.811 0.543 0.601
Ta 0.290 0.058 0.601
Ta 0.501 0.397 0.148
Ta 0.710 0.942 0.399
Ta 0.189 0.457 0.399
Ta 0.853 0.249 0.852
Ta 0.499 0.603 0.852
Ru 0.807 0.057 0.115
Ru 0.193 0.943 0.885
CELL_PARAMETERS angstrom
4.511 -0.004 -0.924
-1.994 4.549 -1.127
0.326 0.336 8.748
! Distance to the lowest polymorph of the same formula in eV per atom: 0.367
! Space group: No. 15
! DFT formation energy in meV per atom: 142
! Crystal system: monoclinic



[2]
! Ta3Ru5 | Alexandria via LeMat-Bulk | PBE | relaxed; values from VASP
&SYSTEM
  ibrav = 0, nat = 16, ntyp = 2
/
ATOMIC_SPECIES
Ru 101.07 Ru.upf
Ta 180.95 Ta.upf
ATOMIC_POSITIONS crystal
Ru 0.274 0.907 0.675
Ru 0.778 0.177 0.708
Ru 0.750 0.458 0.459
Ru 0.727 0.093 0.326
Ru 0.723 0.707 0.178
Ru 0.227 0.675 0.907
Ru 0.277 0.293 0.823
Ru 0.251 0.542 0.542
Ru 0.223 0.823 0.293
Ru 0.774 0.325 0.094
Ta 0.736 0.542 0.818
Ta 0.265 0.458 0.183
Ta 0.236 0.183 0.459
Ta 0.750 0.940 0.940
Ta 0.765 0.817 0.542
Ta 0.251 0.060 0.061
CELL_PARAMETERS angstrom
-2.788 3.777 2.977
-7.297 -1.277 0.726
2.136 -6.065 3.757
! Distance to the lowest polymorph of the same formula in eV per atom: 0.143
! Space group: No. 15
! DFT formation energy in meV per atom: -188
! Crystal system: monoclinic



[3]
! Ta3Ru2 | Alexandria via LeMat-Bulk | PBE | relaxed; values from VASP
&SYSTEM
  ibrav = 0, nat = 10, ntyp = 2
/
ATOMIC_SPECIES
Ta 180.95 Ta.upf
Ru 101.07 Ru.upf
ATOMIC_POSITIONS crystal
Ta 0.356 0.356 0.144
Ta 0.750 0.750 0.750
Ta 0.144 0.144 0.356
Ta 0.500 0.500 0.500
Ta 0.106 0.106 0.894
Ta 0.894 0.894 0.106
Ru 0.954 0.954 0.546
Ru 0.704 0.704 0.296
Ru 0.546 0.546 0.954
Ru 0.296 0.296 0.704
CELL_PARAMETERS angstrom
0.000 4.552 6.825
2.693 0.000 6.825
2.693 4.552 0.000
! Distance to the lowest polymorph of the same formula in eV per atom: 0.139
! Space group: No. 70
! DFT formation energy in meV per atom: -145
! Crystal system: orthorhombic



[4]
! Ta4Ru | Alexandria via LeMat-Bulk | PBE | relaxed; values from VASP
&SYSTEM
  ibrav = 0, nat = 5, ntyp = 2
/
ATOMIC_SPECIES
Ta 180.95 Ta.upf
Ru 101.07 Ru.upf
ATOMIC_POSITIONS crystal
Ta 0.411 0.411 0.000
Ta 0.250 0.750 0.500
Ta 0.589 0.589 0.000
Ta 0.750 0.250 0.500
Ru 0.000 0.000 0.000
CELL_PARAMETERS angstrom
-3.174 6.567 2.713
-0.088 7.690 -1.190
-0.320 -7.401 -2.382
! Distance to the lowest polymorph of the same formula in eV per atom: 1.111
! Space group: No. 139
! DFT formation energy in meV per atom: 886
! Crystal system: tetragonal



[5]
! Ta4Ru | Alexandria via LeMat-Bulk | PBE | relaxed; values from VASP
&SYSTEM
  ibrav = 0, nat = 10, ntyp = 2
/
ATOMIC_SPECIES
Ta 180.95 Ta.upf
Ru 101.07 Ru.upf
ATOMIC_POSITIONS crystal
Ta 0.439 0.810 0.158
Ta 0.190 0.281 0.842
Ta 0.652 0.561 0.842
Ta 0.719 0.348 0.158
Ta 0.311 0.440 0.342
Ta 0.031 0.902 0.342
Ta 0.098 0.689 0.658
Ta 0.560 0.969 0.658
Ru 0.750 0.250 0.500
Ru 0.000 0.000 0.000
CELL_PARAMETERS angstrom
5.496 0.000 0.000
0.000 5.496 0.000
-2.748 -2.748 6.122
! Distance to the lowest polymorph of the same formula in eV per atom: 0.357
! Space group: No. 88
! DFT formation energy in meV per atom: 132
! Crystal system: tetragonal



[6]
! Ta3Ru5 | Alexandria via LeMat-Bulk | PBE | relaxed; values from VASP
&SYSTEM
  ibrav = 0, nat = 8, ntyp = 2
/
ATOMIC_SPECIES
Ru 101.07 Ru.upf
Ta 180.95 Ta.upf
ATOMIC_POSITIONS crystal
Ru 0.000 0.000 0.000
Ru 0.500 0.000 0.000
Ru 0.718 0.282 0.500
Ru 0.000 0.500 0.000
Ru 0.282 0.718 0.500
Ta 0.500 0.500 0.000
Ta 0.787 0.787 0.500
Ta 0.213 0.213 0.500
CELL_PARAMETERS angstrom
-2.562 0.288 4.830
-3.554 -4.117 -0.621
2.794 -2.659 1.641
! Distance to the lowest polymorph of the same formula in eV per atom: 0.000
! Space group: No. 65
! DFT formation energy in meV per atom: -331
! Crystal system: orthorhombic



[7]
! Ta3Ru2 | Alexandria via LeMat-Bulk | PBE | relaxed; values from VASP
&SYSTEM
  ibrav = 0, nat = 5, ntyp = 2
/
ATOMIC_SPECIES
Ru 101.07 Ru.upf
Ta 180.95 Ta.upf
ATOMIC_POSITIONS crystal
Ru 0.333 0.667 0.831
Ru 0.667 0.333 0.169
Ta 0.667 0.333 0.654
Ta 0.333 0.667 0.346
Ta 0.000 0.000 0.000
CELL_PARAMETERS angstrom
2.196 -3.803 0.000
2.196 3.803 0.000
0.000 0.000 5.428
! Distance to the lowest polymorph of the same formula in eV per atom: 0.227
! Space group: No. 164
! DFT formation energy in meV per atom: -57
! Crystal system: trigonal



[8]
! TaRu3 | Alexandria via LeMat-Bulk | PBE | relaxed; values from VASP
&SYSTEM
  ibrav = 0, nat = 4, ntyp = 2
/
ATOMIC_SPECIES
Ta 180.95 Ta.upf
Ru 101.07 Ru.upf
ATOMIC_POSITIONS crystal
Ta 0.000 0.500 0.346
Ru 0.000 0.000 0.983
Ru 0.500 0.500 0.849
Ru 0.500 0.000 0.488
CELL_PARAMETERS angstrom
-0.594 0.456 -2.764
4.171 -0.961 -1.055
-1.174 -4.548 -0.498
! Space group: No. 25
! DFT formation energy in meV per atom: -123
! Crystal system: orthorhombic



[9]
! Ta4Ru | Alexandria via LeMat-Bulk | PBE | relaxed; values from VASP
&SYSTEM
  ibrav = 0, nat = 5, ntyp = 2
/
ATOMIC_SPECIES
Ta 180.95 Ta.upf
Ru 101.07 Ru.upf
ATOMIC_POSITIONS crystal
Ta 0.000 0.500 0.500
Ta 0.000 0.000 0.000
Ta 0.500 0.500 0.000
Ta 0.500 0.000 0.500
Ru 0.500 0.500 0.500
CELL_PARAMETERS angstrom
-0.802 -0.850 -4.603
0.861 -4.617 0.703
-4.601 -0.716 0.934
! Distance to the lowest polymorph of the same formula in eV per atom: 1.444
! Space group: No. 221
! DFT formation energy in meV per atom: 1219
! Crystal system: cubic



[10]
! TaRu3 | Alexandria via LeMat-Bulk | PBE | relaxed; values from VASP
&SYSTEM
  ibrav = 0, nat = 4, ntyp = 2
/
ATOMIC_SPECIES
Ru 101.07 Ru.upf
Ta 180.95 Ta.upf
ATOMIC_POSITIONS crystal
Ru 0.333 0.667 0.250
Ru 0.000 0.000 0.015
Ru 0.000 0.000 0.485
Ta 0.333 0.667 0.750
CELL_PARAMETERS angstrom
2.779 0.000 0.000
-1.390 2.407 0.000
0.000 0.000 8.967
! Space group: No. 187
! DFT formation energy in meV per atom: 29
! Crystal system: hexagonal



[11]
! Ta3Ru | Alexandria via LeMat-Bulk | PBE | relaxed; values from VASP
&SYSTEM
  ibrav = 0, nat = 4, ntyp = 2
/
ATOMIC_SPECIES
Ru 101.07 Ru.upf
Ta 180.95 Ta.upf
ATOMIC_POSITIONS crystal
Ru 0.000 0.000 0.000
Ta 0.500 0.500 0.000
Ta 0.500 0.000 0.500
Ta 0.000 0.500 0.500
CELL_PARAMETERS angstrom
-1.595 2.672 -2.691
-3.736 -1.608 0.618
-0.651 2.683 3.050
! Space group: No. 221
! DFT formation energy in meV per atom: 88
! Crystal system: cubic



[12]
! TaRu3 | Alexandria via LeMat-Bulk | PBE | relaxed; values from VASP
&SYSTEM
  ibrav = 0, nat = 4, ntyp = 2
/
ATOMIC_SPECIES
Ru 101.07 Ru.upf
Ta 180.95 Ta.upf
ATOMIC_POSITIONS crystal
Ru 0.500 0.000 0.500
Ru 0.000 0.000 0.000
Ru 0.000 0.500 0.500
Ta 0.500 0.500 0.000
CELL_PARAMETERS angstrom
3.903 0.000 0.000
0.000 3.903 0.000
0.000 0.000 3.903
! Space group: No. 221
! DFT formation energy in meV per atom: -191
! Crystal system: cubic